Here is an optimized crystal structure of Ba2LiAs from Alexandria via LeMat-Bulk. Energies are from GGA-PBE.

Cell and atoms, written as extended XYZ:
```
8
Lattice="9.2529 0.0000 0.0000 0.0000 9.2529 0.0000 4.6265 4.6265 4.2428" Properties=species:S:1:pos:R:3 pbc="T T T"
As 0.0000 0.0000 0.0000
As 9.2529 4.6265 2.1214
Ba 7.4328 2.3132 1.0607
Ba 1.8201 6.9397 1.0607
Ba 6.9397 6.4466 3.1821
Ba 11.5662 12.0593 3.1821
Li 4.6265 4.6265 0.0000
Li 4.6265 9.2529 2.1214
```

Here is an optimized crystal structure of Ba2LiAs from Alexandria via LeMat-Bulk. Energies are from GGA-PBE.

Cell and atoms, written as extended XYZ:
```
4
Lattice="-1.8715 1.1097 4.1929 3.6717 -2.9599 -0.2388 5.5057 6.7832 0.6621" Properties=species:S:1:pos:R:3 pbc="T T T"
Ba 1.0568 -0.1449 0.5100
Ba 4.1230 3.4187 3.5964
Li 4.5559 0.3184 1.9492
As 3.0591 2.3273 0.7494
```

The records above yield DFT formation energy values of -349, -598 meV/atom, respectively.